Entry from Alexandria via LeMat-Bulk: crystalline LiPaGaI6 at its relaxed geometry (PBE).

Calculated values
Formation energy (no corrections), eV/atom: -0.87
Space-group type: No. 163
Crystal system: trigonal
DOS(E_F), states/eV per cell: 1.696

Lattice parameters (Å, degrees): 7.702 7.702 14.667 90.00 90.00 120.00
Each line ends with the local moment (μB).
Atoms (fractional coordinates):
I 0.648 0.647 0.631  -0.02
Li 0.667 0.333 0.750  0.00
I 0.352 0.353 0.369  -0.02
I 0.999 0.352 0.631  -0.02
I 0.001 0.353 0.131  -0.02
Pa 0.333 0.667 0.750  1.09
Ga 0.000 0.000 0.500  0.00
I 0.648 0.001 0.869  -0.02
Pa 0.667 0.333 0.250  1.09
I 0.352 0.999 0.131  -0.02
I 0.353 0.001 0.631  -0.02
I 0.001 0.648 0.369  -0.02
Ga 0.000 0.000 0.000  0.00
I 0.647 0.648 0.131  -0.02
Li 0.333 0.667 0.250  0.00
I 0.353 0.352 0.869  -0.02
I 0.999 0.647 0.869  -0.02
I 0.647 0.999 0.369  -0.02

***

Entry from Alexandria via LeMat-Bulk: crystalline CdNO at its relaxed geometry (PBE).

Calculated values
Formation energy (no corrections), eV/atom: -0.57
Space-group type: No. 14
Crystal system: monoclinic
DOS(E_F), states/eV per cell: 1.415

Lattice parameters (Å, degrees): 3.274 6.508 10.208 93.80 90.00 90.00
Atoms (fractional coordinates):
Cd 0.750 0.387 0.620
O 0.750 0.362 0.378
O 0.250 0.138 0.622
Cd 0.250 0.613 0.380
O 0.250 0.638 0.622
N 0.952 0.461 0.952
Cd 0.250 0.113 0.380
O 0.750 0.862 0.378
N 0.548 0.961 0.952
Cd 0.750 0.887 0.620
N 0.048 0.539 0.048
N 0.452 0.039 0.048

***

Going through the records in order, we get calculated density values of 4.71, 4.36 g/cm3.
Going through the records in order, we get M_tot values of 0.1118, 0.0000 μB per atom.